The following is a PBE-GGA calculation of a geometry-optimized Li2Er2In structure, from Alexandria via LeMat-Bulk.

Summary:
SG: No. 15
DFT formation energy: -102 meV/atom
total energy: -3.240 eV per atom

Cell lengths 6.0611, 5.7644, 8.8717 Å; angles 64.51, 70.03, 58.28 degrees
Fractional positions:
Li  0.2495  0.2392  0.5103
Li  0.9990  0.2608  0.9897
Li  0.7505  0.7608  0.4897
Li  0.0010  0.7392  0.0103
Er  0.5263  0.8384  0.8506
Er  0.7848  0.3384  0.3506
Er  0.4737  0.1616  0.1494
Er  0.2152  0.6616  0.6494
In  0.1905  0.7500  0.2500
In  0.8095  0.2500  0.7500